The following is a SCAN calculation of LaZn2Ir at its PBEsol-relaxed geometry, from Alexandria via LeMat-Bulk.

Lattice parameters (Å, degrees): 3.249 3.249 7.023 90.00 90.00 90.00
Space group P4mm (No. 99)
Symmetry-distinct sites (fractional):
La1 0.000 0.000 0.000
Zn1 0.000 0.000 0.543
Zn2 0.500 0.500 0.341
Ir1 0.500 0.500 0.721

Calculated values
N(E_F) (states/eV/atom): 0.67
Volume (Å³/cell): 74.1
ΔE_f (eV/atom): -0.2776

The following is a SCAN calculation of LaZn2Ir at its PBEsol-relaxed geometry, from Alexandria via LeMat-Bulk.

Lattice parameters (Å, degrees): 4.3399 4.3399 14.8142 90.00 90.00 120.00
Space group R3m (No. 160, hexagonal axes)
Symmetry-distinct sites (fractional):
La1 0.0000 0.0000 0.0000
Zn1 0.0000 0.0000 0.5229
Zn2 0.0000 0.0000 0.8000
Ir1 0.0000 0.0000 0.2015

Calculated values
N(E_F) (states/eV/atom): 0.57
Volume (Å³/cell): 241.7
ΔE_f (eV/atom): -0.5381